## KMg2BeTc (PBE)

Data for KMg2BeTc after structural relaxation.

**E_form**: 1.290 eV per atom

abc: 4.8916 5.4487 4.8916
angles: 90.00 90.00 90.00
With the nearest neighbours (Å) after each atom.
Fractional positions:
Mg 0.0000 0.0000 0.5000  2 Be 2.45
Mg 0.5000 0.0000 0.0000  2 Be 2.45
Be 0.0000 0.0000 0.0000  4 Mg 2.45, 2 K 2.72
K 0.0000 0.5000 0.0000  2 Be 2.72
Tc 0.5000 0.5000 0.5000  4 K 3.46, 8 Mg 3.66

=====

## KMg2BeTe (PBE)

Data for KMg2BeTe after structural relaxation.

**Uncorrected formation energy**: 0.61 eV per atom

abc: 5.6548 6.4337 5.6548
angles: 90.00 90.00 90.00
With the nearest neighbours (Å) after each atom.
Fractional positions:
Be 0.5000 0.5000 0.5000  4 K 4.00, 8 Mg 4.28
K 0.0000 0.5000 0.0000  2 Te 3.22
Te 0.0000 0.0000 0.0000  4 Mg 2.83
Mg 0.0000 0.0000 0.5000  2 Te 2.83
Mg 0.5000 0.0000 0.0000  2 Te 2.83

=====

| no. | total magnetization (μB per formula unit) |
| --- | --- |
| 1 | 3.705 |
| 2 | 0.000 |